Material: SeBr
Method: DFT, PBE-GGA
State: relaxed

Lattice parameters (Å, degrees): 13.482 13.482 3.974 90.00 90.00 90.00
Sites, in units of the cell vectors:
1 Se 0.305 0.716 0.000
2 Se 0.695 0.284 0.000
3 Se 0.284 0.305 0.000
4 Se 0.716 0.695 0.000
5 Se 0.805 0.216 0.500
6 Se 0.195 0.784 0.500
7 Se 0.784 0.805 0.500
8 Se 0.216 0.195 0.500
9 Br 0.512 0.273 0.000
10 Br 0.488 0.727 0.000
11 Br 0.727 0.512 0.000
12 Br 0.273 0.488 0.000
13 Br 0.012 0.773 0.500
14 Br 0.988 0.227 0.500
15 Br 0.227 0.012 0.500
16 Br 0.773 0.988 0.500

Results
Formation energy (no corrections): 0.19 eV per formula unit
Space-group type: No. 87
M_tot: 0.00 μB per cell
DOS(E_F): 9.113 states/eV per cell